P) Below is a relaxed RbTi2Co crystal, with properties calculated at the PBE level.

As for the total magnetization: 2.533 μB per formula unit.

It has space group I4_1/amd (No. 141, origin choice 2), with a = 7.191 Å, b = 7.191 Å, c = 10.303 Å, α = 90.00°, β = 90.00° and γ = 90.00°. The asymmetric unit holds Rb at (0.000, 0.250, 0.375), Ti at (0.000, 0.000, 0.000) and Co at (0.000, 0.250, 0.875).

=====

Q) Below is a relaxed RbTi2Co crystal, with properties calculated at the PBE level.

As for the total magnetization: 0.000 μB per formula unit.

It has space group Fm-3m (No. 225), with a = 6.606 Å, b = 6.606 Å, c = 6.606 Å, α = 90.00°, β = 90.00° and γ = 90.00°. The asymmetric unit holds Rb at (0.000, 0.000, 0.000), Ti at (0.250, 0.250, 0.250) and Co at (0.000, 0.000, 0.500).

=====

On energetic grounds, P) is preferred over the next structure by 0.159 eV/atom.

=====

P) Below is a relaxed RbTiCo3 crystal, with properties calculated at the PBE level.

As for the total magnetization: 1.787 μB per formula unit.

It has space group Pm-3m (No. 221), with a = 4.605 Å, b = 4.605 Å, c = 4.605 Å, α = 90.00°, β = 90.00° and γ = 90.00°. The asymmetric unit holds Rb at (0.000, 0.000, 0.000), Ti at (0.500, 0.500, 0.500) and Co at (0.000, 0.500, 0.500).

=====

Q) Below is a relaxed RbTiCo3 crystal, with properties calculated at the PBE level.

As for the total magnetization: 0.000 μB per formula unit.

It has space group Pm-3m (No. 221), with a = 4.428 Å, b = 4.428 Å, c = 4.428 Å, α = 90.00°, β = 90.00° and γ = 90.00°. The asymmetric unit holds Rb at (0.000, 0.000, 0.000), Ti at (0.500, 0.500, 0.500) and Co at (0.000, 0.000, 0.500).

=====

On energetic grounds, P) is preferred over the next structure by 1.212 eV/atom.

=====

P) Below is a relaxed RbTiCo2 crystal, with properties calculated at the PBE level.

As for the total magnetization: 0.596 μB per formula unit.

It has space group I4_1/amd (No. 141, origin choice 2), with a = 5.038 Å, b = 5.038 Å, c = 15.523 Å, α = 90.00°, β = 90.00° and γ = 90.00°. The asymmetric unit holds Rb at (0.000, 0.250, 0.375), Ti at (0.000, 0.250, 0.875) and Co at (0.000, 0.000, 0.000).

=====

Q) Below is a relaxed RbTiCo2 crystal, with properties calculated at the PBE level.

As for the total magnetization: 1.143 μB per formula unit.

It has space group Fm-3m (No. 225), with a = 6.568 Å, b = 6.568 Å, c = 6.568 Å, α = 90.00°, β = 90.00° and γ = 90.00°. The asymmetric unit holds Rb at (0.000, 0.000, 0.000), Ti at (0.000, 0.000, 0.500) and Co at (0.250, 0.250, 0.250).

=====

On energetic grounds, P) is preferred over the next structure by 0.217 eV/atom.

=====

P) Below is a relaxed RbTlCo2 crystal, with properties calculated at the PBE level.

As for the total magnetization: 3.089 μB per formula unit.

It has space group Fm-3m (No. 225), with a = 6.989 Å, b = 6.989 Å, c = 6.989 Å, α = 90.00°, β = 90.00° and γ = 90.00°. The asymmetric unit holds Rb at (0.000, 0.000, 0.000), Tl at (0.000, 0.000, 0.500) and Co at (0.250, 0.250, 0.250).

=====

Q) Below is a relaxed RbTlCo2 crystal, with properties calculated at the PBE level.

As for the total magnetization: 2.965 μB per formula unit.

It has space group I4_1/amd (No. 141, origin choice 2), with a = 4.883 Å, b = 4.883 Å, c = 18.735 Å, α = 90.00°, β = 90.00° and γ = 90.00°. The asymmetric unit holds Rb at (0.000, 0.250, 0.375), Tl at (0.000, 0.250, 0.875) and Co at (0.000, 0.000, 0.000).

=====

On energetic grounds, Q) is preferred over the next structure by 0.433 eV/atom.

=====

P) Below is a relaxed RbV2Co crystal, with properties calculated at the PBE level.

As for the total magnetization: 2.338 μB per formula unit.

It has space group Fm-3m (No. 225), with a = 6.469 Å, b = 6.469 Å, c = 6.469 Å, α = 90.00°, β = 90.00° and γ = 90.00°. The asymmetric unit holds Rb at (0.000, 0.000, 0.000), V at (0.250, 0.250, 0.250) and Co at (0.000, 0.000, 0.500).

=====

Q) Below is a relaxed RbV2Co crystal, with properties calculated at the PBE level.

As for the total magnetization: 5.577 μB per formula unit.

It has space group I4_1/amd (No. 141, origin choice 2), with a = 5.973 Å, b = 5.973 Å, c = 13.551 Å, α = 90.00°, β = 90.00° and γ = 90.00°. The asymmetric unit holds Rb at (0.000, 0.250, 0.375), V at (0.000, 0.000, 0.000) and Co at (0.000, 0.250, 0.875).

=====

On energetic grounds, Q) is preferred over the next structure by 0.248 eV/atom.

=====

P) Below is a relaxed Rb2VCo crystal, with properties calculated at the PBE level.

As for the total magnetization: 2.541 μB per formula unit.

It has space group I-42d (No. 122), with a = 13.350 Å, b = 13.350 Å, c = 4.399 Å, α = 90.00°, β = 90.00° and γ = 90.00°. The asymmetric unit holds Rb at (0.065, 0.250, 0.125), V at (0.000, 0.000, 0.500) and Co at (0.000, 0.000, 0.000).

=====

Q) Below is a relaxed Rb2VCo crystal, with properties calculated at the PBE level.

As for the total magnetization: 6.375 μB per formula unit.

It has space group Fm-3m (No. 225), with a = 8.528 Å, b = 8.528 Å, c = 8.528 Å, α = 90.00°, β = 90.00° and γ = 90.00°. The asymmetric unit holds Rb at (0.250, 0.250, 0.250), V at (0.000, 0.000, 0.000) and Co at (0.000, 0.000, 0.500).

=====

On energetic grounds, P) is preferred over the next structure by 0.641 eV/atom.

=====

P) Below is a relaxed RbVCo3 crystal, with properties calculated at the PBE level.

As for the total magnetization: 5.508 μB per formula unit.

It has space group Pm-3m (No. 221), with a = 4.482 Å, b = 4.482 Å, c = 4.482 Å, α = 90.00°, β = 90.00° and γ = 90.00°. The asymmetric unit holds Rb at (0.000, 0.000, 0.000), V at (0.500, 0.500, 0.500) and Co at (0.000, 0.000, 0.500).

=====

Q) Below is a relaxed RbVCo3 crystal, with properties calculated at the PBE level.

As for the total magnetization: 0.826 μB per formula unit.

It has space group Pm-3m (No. 221), with a = 4.501 Å, b = 4.501 Å, c = 4.501 Å, α = 90.00°, β = 90.00° and γ = 90.00°. The asymmetric unit holds Rb at (0.000, 0.000, 0.000), V at (0.500, 0.500, 0.500) and Co at (0.000, 0.500, 0.500).

=====

On energetic grounds, Q) is preferred over the next structure by 1.447 eV/atom.

=====

P) Below is a relaxed RbCoW3 crystal, with properties calculated at the PBE level.

As for the total magnetization: 1.334 μB per formula unit.

It has space group Pm-3m (No. 221), with a = 4.682 Å, b = 4.682 Å, c = 4.682 Å, α = 90.00°, β = 90.00° and γ = 90.00°. The asymmetric unit holds Rb at (0.000, 0.000, 0.000), Co at (0.500, 0.500, 0.500) and W at (0.000, 0.500, 0.500).

=====

Q) Below is a relaxed RbCoW3 crystal, with properties calculated at the PBE level.

As for the total magnetization: 0.000 μB per formula unit.

It has space group Pm-3m (No. 221), with a = 4.613 Å, b = 4.613 Å, c = 4.613 Å, α = 90.00°, β = 90.00° and γ = 90.00°. The asymmetric unit holds Rb at (0.000, 0.000, 0.000), Co at (0.500, 0.500, 0.500) and W at (0.000, 0.000, 0.500).

=====

On energetic grounds, P) is preferred over the next structure by 2.068 eV/atom.

=====

P) Below is a relaxed RbCoW2 crystal, with properties calculated at the PBE level.

As for the total magnetization: 0.000 μB per formula unit.

It has space group I4_1/amd (No. 141, origin choice 2), with a = 5.112 Å, b = 5.112 Å, c = 16.306 Å, α = 90.00°, β = 90.00° and γ = 90.00°. The asymmetric unit holds Rb at (0.000, 0.250, 0.375), Co at (0.000, 0.250, 0.875) and W at (0.000, 0.000, 0.000).

=====

Q) Below is a relaxed RbCoW2 crystal, with properties calculated at the PBE level.

As for the total magnetization: 0.000 μB per formula unit.

It has space group Fm-3m (No. 225), with a = 6.402 Å, b = 6.402 Å, c = 6.402 Å, α = 90.00°, β = 90.00° and γ = 90.00°. The asymmetric unit holds Rb at (0.000, 0.000, 0.000), Co at (0.000, 0.000, 0.500) and W at (0.250, 0.250, 0.250).

=====

On energetic grounds, P) is preferred over the next structure by 0.181 eV/atom.

=====

P) Below is a relaxed RbZn2Co2 crystal, with properties calculated at the PBE level.

As for the total magnetization: 2.546 μB per formula unit.

It has space group P4/mbm (No. 127), with a = 8.106 Å, b = 8.106 Å, c = 2.723 Å, α = 90.00°, β = 90.00° and γ = 90.00°. The asymmetric unit holds Rb at (0.000, 0.000, 0.000), Zn at (0.170, 0.330, 0.000) and Co at (0.098, 0.598, 0.500).

=====

Q) Below is a relaxed RbZn2Co2 crystal, with properties calculated at the PBE level.

As for the total magnetization: 3.374 μB per formula unit.

It has space group I4/mmm (No. 139), with a = 3.382 Å, b = 3.382 Å, c = 18.624 Å, α = 90.00°, β = 90.00° and γ = 90.00°. The asymmetric unit holds Rb at (0.000, 0.000, 0.000), Zn at (0.000, 0.000, 0.353) and Co at (0.000, 0.500, 0.250).

=====

On energetic grounds, Q) is preferred over the next structure by 0.093 eV/atom.

=====

P) Below is a relaxed Rb2ZrCo crystal, with properties calculated at the PBE level.

As for the total magnetization: 0.000 μB per formula unit.

It has space group Fm-3m (No. 225), with a = 7.986 Å, b = 7.986 Å, c = 7.986 Å, α = 90.00°, β = 90.00° and γ = 90.00°. The asymmetric unit holds Rb at (0.250, 0.250, 0.250), Zr at (0.000, 0.000, 0.000) and Co at (0.000, 0.000, 0.500).

=====

Q) Below is a relaxed Rb2ZrCo crystal, with properties calculated at the PBE level.

As for the total magnetization: 0.000 μB per formula unit.

It has space group I-42d (No. 122), with a = 13.442 Å, b = 13.442 Å, c = 4.530 Å, α = 90.00°, β = 90.00° and γ = 90.00°. The asymmetric unit holds Rb at (0.085, 0.250, 0.125), Zr at (0.000, 0.000, 0.500) and Co at (0.000, 0.000, 0.000).

=====

On energetic grounds, Q) is preferred over the next structure by 0.954 eV/atom.

=====

P) Below is a relaxed RbZrCo3 crystal, with properties calculated at the PBE level.

As for the total magnetization: 0.000 μB per formula unit.

It has space group Pm-3m (No. 221), with a = 4.472 Å, b = 4.472 Å, c = 4.472 Å, α = 90.00°, β = 90.00° and γ = 90.00°. The asymmetric unit holds Rb at (0.000, 0.000, 0.000), Zr at (0.500, 0.500, 0.500) and Co at (0.000, 0.000, 0.500).

=====

Q) Below is a relaxed RbZrCo3 crystal, with properties calculated at the PBE level.

As for the total magnetization: 2.257 μB per formula unit.

It has space group Pm-3m (No. 221), with a = 4.876 Å, b = 4.876 Å, c = 4.876 Å, α = 90.00°, β = 90.00° and γ = 90.00°. The asymmetric unit holds Rb at (0.000, 0.000, 0.000), Zr at (0.500, 0.500, 0.500) and Co at (0.000, 0.500, 0.500).

=====

On energetic grounds, Q) is preferred over the next structure by 0.793 eV/atom.

=====

P) Below is a relaxed RbZr2Co crystal, with properties calculated at the PBE level.

As for the total magnetization: 0.000 μB per formula unit.

It has space group Fm-3m (No. 225), with a = 6.943 Å, b = 6.943 Å, c = 6.943 Å, α = 90.00°, β = 90.00° and γ = 90.00°. The asymmetric unit holds Rb at (0.000, 0.000, 0.000), Zr at (0.250, 0.250, 0.250) and Co at (0.000, 0.000, 0.500).

=====

Q) Below is a relaxed RbZr2Co crystal, with properties calculated at the PBE level.

As for the total magnetization: 0.000 μB per formula unit.

It has space group I4_1/amd (No. 141, origin choice 2), with a = 6.701 Å, b = 6.701 Å, c = 13.213 Å, α = 90.00°, β = 90.00° and γ = 90.00°. The asymmetric unit holds Rb at (0.000, 0.250, 0.375), Zr at (0.000, 0.000, 0.000) and Co at (0.000, 0.250, 0.875).

=====

On energetic grounds, Q) is preferred over the next structure by 0.011 eV/atom.

=====

P) Below is a relaxed CoRe4 crystal, with properties calculated at the PBE level.

As for the total magnetization: 1.738 μB per formula unit.

It has space group I4/mmm (No. 139), with a = 4.013 Å, b = 4.013 Å, c = 11.035 Å, α = 90.00°, β = 90.00° and γ = 90.00°. The asymmetric unit holds Co at (0.000, 0.000, 0.000), Re at (0.000, 0.000, 0.388) and Re at (0.000, 0.500, 0.250).

=====

Q) Below is a relaxed CoRe4 crystal, with properties calculated at the PBE level.

As for the total magnetization: 0.000 μB per formula unit.

It has space group I4/m (No. 87), with a = 6.054 Å, b = 6.054 Å, c = 3.876 Å, α = 90.00°, β = 90.00° and γ = 90.00°. The asymmetric unit holds Co at (0.000, 0.000, 0.000) and Re at (0.104, 0.293, 0.500).

=====

On energetic grounds, Q) is preferred over the next structure by 0.820 eV/atom.